Record 1
First-principles (GGA-PBE) data for a geometry-optimized Cs4NaTl4 structure, as listed in Alexandria.

```
Cs4NaTl4
1.0
-0.742 -2.162 -5.868
3.069 -10.424 6.831
-5.559 -2.479 1.616
Tl Cs Na
4 4 1
Direct
0.582 0.564 0.418
0.019 0.436 0.582
0.418 0.436 0.981
0.981 0.564 0.019
0.162 0.761 0.402
0.598 0.761 0.838
0.838 0.239 0.162
0.402 0.239 0.598
0.000 0.000 0.000
```

The energy relative to the elements is 33 meV/atom.

=====

Record 2
First-principles (GGA-PBE) data for a geometry-optimized CsNa3Tl structure, as listed in Alexandria.

```
CsNa3Tl
1.0
6.827 0.000 0.000
0.000 6.827 0.000
0.000 0.000 6.827
Na Cs Tl
3 1 1
Direct
0.000 0.500 0.000
0.000 0.000 0.500
0.500 0.000 0.000
0.000 0.000 0.000
0.500 0.500 0.500
```

The energy relative to the elements is 584 meV/atom.

=====

Record 3
First-principles (GGA-PBE) data for a geometry-optimized CsNaTl5 structure, as listed in Alexandria.

```
CsNaTl5
1.0
-3.734 2.003 2.159
-2.413 -0.081 -4.097
-4.065 -10.377 2.599
Tl Na Cs
5 1 1
Direct
0.500 0.000 0.784
0.000 0.500 0.216
0.000 0.500 0.784
0.500 0.000 0.216
0.000 0.000 0.000
0.500 0.500 0.000
0.000 0.000 0.500
```

The energy relative to the elements is -64 meV/atom.

=====

Record 4
First-principles (GGA-PBE) data for a geometry-optimized CsNaTl structure, as listed in Alexandria.

```
CsNaTl
1.0
-4.159 1.457 0.121
-0.588 -2.002 3.884
4.507 6.085 1.317
Cs Na Tl
1 1 1
Direct
0.011 0.011 0.022
0.289 0.289 0.578
0.700 0.700 0.400
```

The energy relative to the elements is -5 meV/atom.

=====

- Which of these has the highest energy relative to the elements?
  CsNa3Tl

=====

- What is the energy relative to the elements in the fourth record?
  -5 meV/atom

=====

- Among the records above, which one has the highest energy relative to the elements?
  CsNa3Tl